This record from Alexandria describes a relaxed structure of Mg7Cd2Pt2. The functional is PBE.

Output
DOS(E_F): 3.367 states/eV/f.u.
ΔH_f (0 K): -0.353 eV/atom

Cell lengths 11.149, 8.342, 4.965 Å; angles 90.00, 93.65, 90.00 degrees
Space group C2/m (No. 12)
One atom of each set of equivalent atoms:
Mg  0.000  0.000  0.000 [2 per cell]
Mg  0.075  0.500  0.253 [4 per cell]
Mg  0.235  0.332  0.753 [8 per cell]
Cd  0.000  0.193  0.500 [4 per cell]
Pt  0.196  0.000  0.735 [4 per cell]

---

This record from Alexandria describes a relaxed structure of Mg8CdPt2. The functional is PBE.

Output
DOS(E_F): 3.732 states/eV/f.u.
ΔH_f (0 K): -0.403 eV/atom

Cell lengths 8.125, 11.864, 5.036 Å; angles 90.00, 103.37, 90.00 degrees
Space group C2/m (No. 12)
One atom of each set of equivalent atoms:
Mg  0.000  0.248  0.000 [4 per cell]
Mg  0.120  0.000  0.805 [4 per cell]
Mg  0.193  0.368  0.582 [8 per cell]
Cd  0.000  0.500  0.000 [2 per cell]
Pt  0.000  0.182  0.500 [4 per cell]

---

This record from Alexandria describes a relaxed structure of Mg2CdPt8. The functional is PBE.

Output
DOS(E_F): 9.903 states/eV/f.u.
ΔH_f (0 K): -0.343 eV/atom

Cell lengths 3.948, 8.228, 11.599 Å; angles 90.00, 90.00, 90.00 degrees
Space group Immm (No. 71)
One atom of each set of equivalent atoms:
Mg  0.000  0.000  0.147 [4 per cell]
Cd  0.000  0.000  0.500 [2 per cell]
Pt  0.000  0.246  0.333 [8 per cell]
Pt  0.000  0.256  0.000 [4 per cell]
Pt  0.000  0.500  0.183 [4 per cell]

---

This record from Alexandria describes a relaxed structure of MgCd4Pt. The functional is PBE.

Output
DOS(E_F): 0.572 states/eV/f.u.
ΔH_f (0 K): 0.019 eV/atom

Cell lengths 7.872, 7.872, 7.872 Å; angles 90.00, 90.00, 90.00 degrees
Space group F-43m (No. 216)
One atom of each set of equivalent atoms:
Mg  0.000  0.000  0.000 [4 per cell]
Cd  0.125  0.125  0.375 [16 per cell]
Pt  0.250  0.250  0.750 [4 per cell]